Record 1
The following is a GGA-PBE calculation of a relaxed YTe2F crystal, from the Alexandria database.

a b c (Å): 4.389 4.389 11.228
angles (deg): 78.73 78.73 90.00
Element x y z (fractional)
F (0.250, 0.750, 0.500)
F (0.500, 0.500, 0.000)
Te (0.126, 0.625, 0.250)
Te (0.875, 0.874, 0.750)
Te (0.624, 0.125, 0.250)
Te (0.375, 0.376, 0.750)
Y (0.000, 0.000, 0.000)
Y (0.750, 0.250, 0.500)

Properties
- theoretical density (Mg/m³) = 5.80
- offset from the most stable computed form (meV/atom) = 60
- electronic total energy (hartree per atom) = -0.1759
- formation energy without anion corrections (eV per atom) = -1.132

***

Record 2
The following is a GGA-PBE calculation of a relaxed Ta2AgSb crystal, from the Alexandria database.

a b c (Å): 4.594 2.955 5.703
angles (deg): 78.89 90.00 90.00
Element x y z (fractional)
Ag (0.000, 0.654, 0.484)
Ta (0.000, 0.008, 0.992)
Ta (0.500, 0.253, 0.265)
Sb (0.500, 0.585, 0.759)

Properties
- theoretical density (Mg/m³) = 12.93
- electronic total energy (hartree per atom) = -0.2720
- formation energy without anion corrections (eV per atom) = 0.269

***

Record 3
The following is a GGA-PBE calculation of a relaxed DyEr9Tl2 crystal, from the Alexandria database.

a b c (Å): 4.834 4.834 14.843
angles (deg): 90.00 90.00 90.00
Element x y z (fractional)
Er (0.000, 0.500, 0.171)
Er (0.500, 0.000, 0.171)
Er (0.500, 0.500, 0.337)
Er (0.000, 0.500, 0.829)
Er (0.000, 0.500, 0.500)
Er (0.500, 0.500, 0.663)
Er (0.500, 0.500, 0.000)
Er (0.500, 0.000, 0.500)
Er (0.500, 0.000, 0.829)
Dy (0.000, 0.000, 0.000)
Tl (0.000, 0.000, 0.661)
Tl (0.000, 0.000, 0.339)

Properties
- formation energy (eV per atom) = -0.103
- theoretical density (Mg/m³) = 9.94
- electronic total energy (hartree per atom) = -0.1581